H2OsRu2 (SCAN, PBEsol geometry); DOS at the Fermi energy = 2.96 states/eV/cell; space group = I4/mmm (139); calculated total energy = -29.514 eV/atom; density = 14131 kg/m3
1.0
-1.386 1.386 6.030
1.386 -1.386 6.030
1.386 1.386 -6.030
H Os Ru
2 1 2
direct
0.250 0.750 0.500 H
0.750 0.250 0.500 H
0.000 0.000 0.000 Os
0.351 0.351 0.000 Ru
0.649 0.649 0.000 Ru